Record 1
## Mg2C (PBE-GGA)

Data for a relaxed Mg2C crystal.

Results
V = 163.1 Å³/cell
energy of formation from the pure elements = 0.26 eV per atom
magnetic moment = 0.00 μB/f.u.
electronic total energy = -3.88 eV per atom

Cell lengths 5.4632, 5.4632, 5.4632 Å; angles 90.00, 90.00, 90.00 degrees
Space group Fm-3m (No. 225)
Unique sites:
Mg  0.2500  0.2500  0.2500 x8
C  0.0000  0.0000  0.0000 x4

Record 2
## TePd4S (PBE-GGA)

Data for a relaxed TePd4S crystal.

Results
V = 451.1 Å³/cell
ΔE_f (raw) = -173 meV/atom
magnetic moment = 0.00 μB/f.u.
electronic total energy = -4.85 eV per atom

Cell lengths 7.0349, 16.5852, 5.1513 Å; angles 90.00, 131.37, 90.00 degrees
Space group C2/c (No. 15)
Unique sites:
Te  0.0000  0.1350  0.2500 x4
Pd  0.1325  0.2791  0.6255 x8
Pd  0.2441  0.0305  0.7647 x8
S  0.0000  0.3903  0.7500 x4